Tm3Hg | PBE-GGA | relaxed

abc: 3.7456 5.2423 11.2030
angles: 90.00 90.00 90.00
Closest atoms and distances in Å follow each position.
Space group Immm (No. 71)
Unique sites:
Tm: 0.0000 0.0000 0.0000 (multiplicity 2)  4 Hg 3.22, 4 Tm 3.60
Tm: 0.0000 0.5000 0.2206 (multiplicity 4)  2 Hg 3.10, 4 Tm 3.29
Hg: 0.0000 0.0000 0.5000 (multiplicity 2)  8 Tm 3.10-3.22

Summary:
energy of formation: -230 meV/atom



GdYBeCu | PBE-GGA | relaxed

abc: 6.9377 6.9377 6.9377
angles: 90.00 90.00 90.00
Closest atoms and distances in Å follow each position.
Space group F-43m (No. 216)
Unique sites:
Gd: 0.0000 0.0000 0.0000 (multiplicity 4)  4 Be 3.00, 4 Cu 3.00
Y: 0.0000 0.0000 0.5000 (multiplicity 4)  4 Be 3.00, 4 Cu 3.00
Be: 0.2500 0.2500 0.7500 (multiplicity 4)  4 Gd 3.00, 4 Y 3.00
Cu: 0.2500 0.2500 0.2500 (multiplicity 4)  4 Gd 3.00, 4 Y 3.00

Summary:
energy of formation: -45 meV/atom



CsBi2Cl | PBE-GGA | relaxed

abc: 4.6811 4.6811 37.3854
angles: 90.00 90.00 90.00
Closest atoms and distances in Å follow each position.
Space group I-42d (No. 122)
Unique sites:
Cs: 0.0000 0.0000 0.0000 (multiplicity 4)  4 Cl 3.31
Bi: 0.1990 0.2500 0.6250 (multiplicity 8)  2 Bi 2.99
Cl: 0.0000 0.0000 0.5000 (multiplicity 4)  4 Cs 3.31

Summary:
polymorph energy (0 for the lowest one): 0 meV per atom
raw formation energy: -0.631 eV/atom



Ac3AlZn2Cu6 | PBE-GGA | relaxed

abc: 6.1830 6.1830 8.0786
angles: 90.00 90.00 120.00
Closest atoms and distances in Å follow each position.
Space group P-3m1 (No. 164)
Unique sites:
Ac: 0.0000 0.0000 0.0000 (multiplicity 1)  6 Zn 3.70, 6 Cu 3.73, 2 Al 4.04
Ac: 0.3333 0.6667 0.7289 (multiplicity 2)  1 Zn 3.15, 9 Cu 3.17-3.23
Al: 0.0000 0.0000 0.5000 (multiplicity 1)  6 Cu 2.36
Zn: 0.3333 0.6667 0.1187 (multiplicity 2)  3 Cu 2.53
Cu: 0.2005 0.4010 0.3780 (multiplicity 6)  1 Al 2.36, 2 Cu 2.46, 1 Zn 2.53

Summary:
energy of formation: -96 meV/atom



Density of states at the Fermi level (states/eV/f.u.)
3.73, 2.84, 1.21, 5.64
Calculated total energy (eV per atom)
-3.659, -7.137, -3.247, -3.695